1.
# YTc2Os meta-GGA SCAN single point on PBEsol structure
# total energy	-167.915	eV per cell
# total moment	0.0	Bohr magnetons per cell
# DOS(E_F)	6.21	states/eV/cell
data_YTc2Os
_chemical_formula_sum 'Y1 Tc2 Os1'
_cell_length_a 3.9165
_cell_length_b 3.9165
_cell_length_c 4.2750
_cell_angle_alpha 90.00
_cell_angle_beta 90.00
_cell_angle_gamma 90.00
_space_group_name_H-M_alt 'P 4/m m m'
_space_group_IT_number 123
_space_group_name_Hall '-P 4 2'
loop_
_atom_site_label
_atom_site_type_symbol
_atom_site_fract_x
_atom_site_fract_y
_atom_site_fract_z
_atom_site_occupancy
Y1 Y 0.0000 0.0000 0.0000 1
Tc1 Tc 0.0000 0.5000 0.5000 1
Os1 Os 0.5000 0.5000 0.0000 1

---

2.
# TlZn2Cr meta-GGA SCAN single point on PBEsol structure
# total energy	-233.852	eV per cell
# total moment	7.4	Bohr magnetons per cell
# DOS(E_F)	2.79	states/eV/cell
data_TlZn2Cr
_chemical_formula_sum 'Tl2 Zn4 Cr2'
_cell_length_a 4.0118
_cell_length_b 4.0118
_cell_length_c 8.1829
_cell_angle_alpha 90.00
_cell_angle_beta 90.00
_cell_angle_gamma 90.00
_space_group_name_H-M_alt 'I -4 m 2'
_space_group_IT_number 119
_space_group_name_Hall 'I -4 -2'
loop_
_atom_site_label
_atom_site_type_symbol
_atom_site_fract_x
_atom_site_fract_y
_atom_site_fract_z
_atom_site_occupancy
Tl1 Tl 0.0000 0.0000 0.0000 1
Zn1 Zn 0.0000 0.0000 0.5000 1
Zn2 Zn 0.0000 0.5000 0.2500 1
Cr1 Cr 0.0000 0.5000 0.7500 1